No. 1
! Y3PbN, optimized geometry, DFT PBE; values from VASP
! * symmetry: Cmmm
! * DOS(E_F): 5.038 states/eV/cell
&SYSTEM
  ibrav = 0, nat = 10, ntyp = 3
/
ATOMIC_SPECIES
Y 88.91 Y.upf
Pb 207.20 Pb.upf
N 14.01 N.upf
CELL_PARAMETERS angstrom
7.971 0.004 0.000
2.870 6.130 0.000
0.000 0.000 4.756
ATOMIC_POSITIONS crystal
Y 0.950 0.302 0.494
Y 0.950 0.802 0.494
Y 0.450 0.542 0.494
Y 0.708 0.173 0.994
Y 0.191 0.432 0.994
Y 0.450 0.063 0.494
Pb 0.715 0.670 0.994
Pb 0.184 0.935 0.994
N 0.704 0.175 0.494
N 0.196 0.429 0.494


No. 2
! Y3PbN, optimized geometry, DFT PBE; values from VASP
! * symmetry: C2/m
! * DOS(E_F): 5.201 states/eV/cell
&SYSTEM
  ibrav = 0, nat = 10, ntyp = 3
/
ATOMIC_SPECIES
Pb 207.20 Pb.upf
Y 88.91 Y.upf
N 14.01 N.upf
CELL_PARAMETERS angstrom
17.528 0.000 3.249
5.935 1.766 -2.850
-5.935 1.766 2.850
ATOMIC_POSITIONS crystal
Pb 0.863 0.036 0.964
Pb 0.137 0.964 0.036
Y 0.372 0.569 0.431
Y 0.628 0.431 0.569
Y 0.131 0.223 0.777
Y 0.869 0.777 0.223
Y 0.618 0.686 0.314
Y 0.382 0.314 0.686
N 0.625 0.054 0.946
N 0.375 0.946 0.054


No. 3
! Y3PbN, optimized geometry, DFT PBE; values from VASP
! * symmetry: R-3
! * DOS(E_F): 11.860 states/eV/cell
&SYSTEM
  ibrav = 0, nat = 10, ntyp = 3
/
ATOMIC_SPECIES
Pb 207.20 Pb.upf
Y 88.91 Y.upf
N 14.01 N.upf
CELL_PARAMETERS angstrom
3.589 0.000 7.703
-1.794 3.108 7.703
-1.794 -3.108 7.703
ATOMIC_POSITIONS crystal
Pb 0.337 0.337 0.337
Pb 0.663 0.663 0.663
Y 0.447 0.091 0.788
Y 0.091 0.788 0.447
Y 0.212 0.553 0.909
Y 0.909 0.212 0.553
Y 0.553 0.909 0.212
Y 0.788 0.447 0.091
N 0.164 0.164 0.164
N 0.836 0.836 0.836


No. 4
! Y2Pb3N4, optimized geometry, DFT PBE; values from VASP
! * symmetry: C2/c
&SYSTEM
  ibrav = 0, nat = 18, ntyp = 3
/
ATOMIC_SPECIES
Pb 207.20 Pb.upf
Y 88.91 Y.upf
N 14.01 N.upf
CELL_PARAMETERS angstrom
7.576 -0.005 0.000
-6.838 7.545 0.000
-0.927 -0.840 7.149
ATOMIC_POSITIONS crystal
Pb 0.191 0.878 0.101
Pb 0.809 0.687 0.399
Pb 0.809 0.122 0.899
Pb 0.191 0.313 0.601
Pb 0.000 0.586 0.750
Pb 0.000 0.414 0.250
Y 0.542 0.180 0.552
Y 0.458 0.638 0.948
Y 0.458 0.820 0.448
Y 0.542 0.362 0.052
N 0.228 0.890 0.432
N 0.772 0.661 0.068
N 0.772 0.110 0.568
N 0.228 0.339 0.932
N 0.709 0.306 0.863
N 0.291 0.597 0.637
N 0.291 0.694 0.137
N 0.709 0.403 0.363


No. 5
! Y3PbN, optimized geometry, DFT PBE; values from VASP
! * symmetry: P6_3/mmc
! * DOS(E_F): 10.321 states/eV/cell
&SYSTEM
  ibrav = 0, nat = 10, ntyp = 3
/
ATOMIC_SPECIES
Pb 207.20 Pb.upf
Y 88.91 Y.upf
N 14.01 N.upf
CELL_PARAMETERS angstrom
-0.907 3.574 -1.628
-2.147 -1.401 3.111
11.628 8.310 11.765
ATOMIC_POSITIONS crystal
Pb 0.000 0.000 0.000
Pb 0.000 0.000 0.500
Y 0.000 0.000 0.250
Y 0.000 0.000 0.750
Y 0.333 0.667 0.883
Y 0.333 0.667 0.617
Y 0.667 0.333 0.383
Y 0.667 0.333 0.117
N 0.333 0.667 0.750
N 0.667 0.333 0.250


No. 6
! YPbN3, optimized geometry, DFT PBE; values from VASP
! * symmetry: Pm-3m
! * DOS(E_F): 2.709 states/eV/cell
&SYSTEM
  ibrav = 0, nat = 5, ntyp = 3
/
ATOMIC_SPECIES
Pb 207.20 Pb.upf
Y 88.91 Y.upf
N 14.01 N.upf
CELL_PARAMETERS angstrom
-3.741 2.363 0.716
-1.712 -1.546 -3.843
-1.779 -3.481 2.193
ATOMIC_POSITIONS crystal
Pb 0.500 0.500 0.500
Y 0.000 0.000 0.000
N 0.000 0.500 0.000
N 0.000 0.000 0.500
N 0.500 0.000 0.000


no.,raw formation energy (meV/atom)
1,-956
2,-799
3,-700
4,-277
5,-624
6,944